[1]
Below is an optimized crystal structure of ZrSc2MoF, with properties calculated at the PBE with a Hubbard U level.

Cell: 4.380 4.677 4.380 Å, 90.00 90.00 90.00°
Fractional coordinates of all 5 atoms:
F1 0.000 0.000 0.000
Mo1 0.500 0.500 0.500
Sc1 0.500 0.000 0.000
Sc2 0.000 0.000 0.500
Zr1 0.000 0.500 0.000

Results
magnetic moment: 0.00 μB per formula unit
E: -6.46 eV/atom
DOS(E_F): 4.21 states/eV per cell

=====

[2]
Below is an optimized crystal structure of WS2NF, with properties calculated at the PBE with a Hubbard U level.

Cell: 4.398 4.398 3.753 Å, 90.00 90.00 90.00°
Fractional coordinates of all 5 atoms:
N1 0.000 0.000 0.500
S1 0.500 0.000 0.000
S2 0.000 0.500 0.000
W1 0.500 0.500 0.500
F1 0.000 0.000 0.000

Results
magnetic moment: 0.33 μB per formula unit
offset from the most stable computed form: 6.866 eV per formula unit
E: -3.46 eV/atom
DOS(E_F): 2.34 states/eV per cell